The following is a GGA-PBE calculation of an optimized crystal structure of CsInHg2Cl8, from the Alexandria database.

Properties
**Density**: 3.8 g/cm3
**Electronic total energy**: -2.566 eV/atom
**Formation energy (no corrections)**: -0.985 eV/atom

Cell lengths 6.6529, 7.2100, 9.2385 Å; angles 110.74, 95.63, 98.94 degrees
With the nearest neighbours (Å) after each atom.
Fractional positions:
Cs  0.0000  0.0000  0.0000  8 Cl 3.48-3.85
In  0.0000  0.5000  0.5000  6 Cl 2.44-2.73
Hg  0.4663  0.3167  0.7611  2 Cl 2.37-2.38
Hg  0.5337  0.6833  0.2389  2 Cl 2.37-2.38
Cl  0.1184  0.5346  0.2521  1 In 2.57, 1 Hg 2.83
Cl  0.2271  0.8219  0.6666  1 In 2.44
Cl  0.3016  0.2856  0.5113  1 Hg 2.37
Cl  0.4515  0.7389  0.0034  1 Hg 2.38
Cl  0.5485  0.2611  0.9966  1 Hg 2.38
Cl  0.6984  0.7144  0.4887  1 Hg 2.37
Cl  0.7729  0.1781  0.3334  1 In 2.44
Cl  0.8816  0.4654  0.7479  1 In 2.57, 1 Hg 2.83